Record 1
{"formula": "Pa3Cu2Ni4", "functional": "GGA-PBE", "state": "relaxed", "delta_e_f_ev_per_atom": -0.27, "e_tot_ev_per_cell": -62.264, "m_tot_mub_per_cell": 0.0, "n_ef_per_ev_atom": 1.225, "lattice": [[4.980, -2.109, 0.000], [4.980, 2.109, 0.000], [-3.673, 0.000, 7.125]], "species": ["Pa", "Pa", "Pa", "Cu", "Cu", "Ni", "Ni", "Ni", "Ni"], "frac_coords": [[0.000, 0.000, 0.000], [0.349, 0.349, 0.320], [0.651, 0.651, 0.680], [0.363, 0.363, 0.698], [0.637, 0.637, 0.302], [0.064, 0.064, 0.395], [0.277, 0.277, 0.939], [0.723, 0.723, 0.061], [0.936, 0.936, 0.605]]}

Record 2
{"formula": "Sc2ZnNi6H", "functional": "GGA-PBE", "state": "relaxed", "e_tot_ev_per_cell": -55.050, "m_tot_mub_per_cell": 0.0, "n_ef_per_ev_atom": 0.563, "lattice": [[5.064, 0.000, 0.000], [-2.515, 4.409, 0.000], [-2.531, -1.473, 5.675]], "species": ["Sc", "Sc", "Zn", "Ni", "Ni", "Ni", "Ni", "Ni", "Ni", "H"], "frac_coords": [[0.056, 0.274, 0.334], [0.944, 0.726, 0.666], [0.500, 0.000, 0.500], [0.047, 0.280, 0.829], [0.441, 0.209, 0.166], [0.451, 0.721, 0.177], [0.549, 0.279, 0.823], [0.559, 0.791, 0.834], [0.953, 0.720, 0.171], [0.500, 0.500, 0.000]]}

Record 3
{"formula": "GeAuIN2", "functional": "GGA-PBE", "state": "relaxed", "relative_energy_mev_per_atom": 465, "e_tot_ev_per_cell": -17.631, "m_tot_mub_per_cell": 2.6, "n_ef_per_ev_atom": 0.476, "formation_energy_uncorrected_ev_per_atom": 1.693, "lattice": [[4.114, 0.000, 0.000], [0.000, 4.114, 0.000], [0.000, 0.000, 7.410]], "species": ["Ge", "Au", "I", "N", "N"], "frac_coords": [[0.000, 0.000, 0.000], [0.500, 0.500, 0.500], [0.500, 0.500, 0.000], [0.000, 0.500, 0.500], [0.500, 0.000, 0.500]]}

Record 4
{"formula": "Sn3IrF", "functional": "GGA-PBE", "state": "relaxed", "relative_energy_mev_per_atom": 0, "e_tot_ev_per_cell": -23.870, "m_tot_mub_per_cell": 0.0, "n_ef_per_ev_atom": 0.921, "formation_energy_uncorrected_ev_per_atom": -0.226, "lattice": [[5.163, 0.000, 0.000], [0.000, 5.163, 0.000], [0.000, 0.000, 5.163]], "species": ["Sn", "Sn", "Sn", "Ir", "F"], "frac_coords": [[0.000, 0.000, 0.500], [0.000, 0.500, 0.000], [0.500, 0.000, 0.000], [0.000, 0.000, 0.000], [0.500, 0.500, 0.500]]}

Record 5
{"formula": "PmNpRh2O8", "functional": "GGA-PBE", "state": "relaxed", "e_tot_ev_per_cell": -94.550, "m_tot_mub_per_cell": 0.3, "n_ef_per_ev_atom": 0.807, "formation_energy_uncorrected_ev_per_atom": -1.874, "lattice": [[4.849, 0.000, 0.000], [0.000, 6.733, 0.000], [-0.109, 0.000, 4.851]], "species": ["Pm", "Np", "Rh", "Rh", "O", "O", "O", "O", "O", "O", "O", "O"], "frac_coords": [[0.000, 0.000, 0.000], [0.000, 0.500, 0.000], [0.500, 0.251, 0.500], [0.500, 0.749, 0.500], [0.203, 0.276, 0.202], [0.203, 0.724, 0.202], [0.316, 0.500, 0.683], [0.329, 0.000, 0.669], [0.671, 0.000, 0.331], [0.684, 0.500, 0.317], [0.797, 0.276, 0.798], [0.797, 0.724, 0.798]]}

Record 6
{"formula": "La3Sb2H", "functional": "GGA-PBE", "state": "relaxed", "relative_energy_mev_per_atom": 191, "e_tot_ev_per_cell": -62.832, "m_tot_mub_per_cell": 0.0, "n_ef_per_ev_atom": 0.677, "lattice": [[6.908, -3.207, 0.000], [6.908, 3.207, 0.000], [-2.878, 0.000, 8.465]], "species": ["La", "La", "La", "La", "La", "La", "Sb", "Sb", "Sb", "Sb", "H", "H"], "frac_coords": [[0.042, 0.958, 0.750], [0.340, 0.345, 0.420], [0.345, 0.340, 0.920], [0.655, 0.660, 0.080], [0.660, 0.655, 0.580], [0.958, 0.042, 0.250], [0.170, 0.175, 0.086], [0.175, 0.170, 0.586], [0.825, 0.830, 0.414], [0.830, 0.825, 0.914], [0.438, 0.562, 0.750], [0.562, 0.438, 0.250]]}

Record 7
{"formula": "Li2Cd6Sn", "functional": "GGA-PBE", "state": "relaxed", "delta_e_f_ev_per_atom": -0.13, "e_tot_ev_per_cell": -14.483, "m_tot_mub_per_cell": 0.0, "n_ef_per_ev_atom": 0.326, "lattice": [[7.310, -1.568, 0.000], [7.310, 1.568, 0.000], [-5.862, 0.000, 8.605]], "species": ["Li", "Li", "Cd", "Cd", "Cd", "Cd", "Cd", "Cd", "Sn"], "frac_coords": [[0.158, 0.158, 0.287], [0.842, 0.842, 0.713], [0.128, 0.128, 0.545], [0.261, 0.261, 0.886], [0.460, 0.460, 0.257], [0.540, 0.540, 0.743], [0.739, 0.739, 0.114], [0.872, 0.872, 0.455], [0.500, 0.500, 0.000]]}

Record 8
{"formula": "NaSeBr2O", "functional": "GGA-PBE", "state": "relaxed", "relative_energy_mev_per_atom": 0, "e_tot_ev_per_cell": -13.505, "m_tot_mub_per_cell": 0.0, "n_ef_per_ev_atom": 0.528, "formation_energy_uncorrected_ev_per_atom": -0.080, "lattice": [[4.990, 0.000, 0.000], [0.000, 4.990, 0.000], [0.000, 0.000, 4.334]], "species": ["Na", "Se", "Br", "Br", "O"], "frac_coords": [[0.000, 0.000, 0.000], [0.500, 0.500, 0.000], [0.000, 0.500, 0.500], [0.500, 0.000, 0.500], [0.500, 0.500, 0.500]]}